(1)
The following is a DFT calculation (PBE-GGA) of a relaxed PrScS3 crystal.

## Properties
VASP energy in eV/atom: -6.706
Total moment in μB per cell: 0.001

Unit cell a=7.1830 b=6.5248 c=9.5961 alpha=90.00 beta=90.00 gamma=90.00
Element x y z (fractional)
Sc (0.4994, 0.9997, 0.2592)
Sc (0.9994, 0.5003, 0.2592)
Sc (0.0006, 0.4997, 0.7592)
Sc (0.5006, 0.0003, 0.7592)
S (0.0346, 0.6246, 0.5089)
S (0.8126, 0.8208, 0.8203)
S (0.1885, 0.1794, 0.6976)
S (0.6885, 0.3206, 0.6976)
S (0.6874, 0.3208, 0.3203)
S (0.4654, 0.1246, 0.0089)
S (0.3126, 0.6792, 0.8203)
S (0.3115, 0.6794, 0.1976)
S (0.1874, 0.1792, 0.3203)
S (0.5346, 0.8754, 0.5089)
S (0.8115, 0.8206, 0.1976)
S (0.9654, 0.3754, 0.0089)
Pr (0.9031, 0.0358, 0.5090)
Pr (0.5969, 0.5358, 0.0090)
Pr (0.4031, 0.4642, 0.5090)
Pr (0.0969, 0.9642, 0.0090)

(2)
The following is a DFT calculation (PBE-GGA) of a relaxed Pr3SeS2 crystal.

## Properties
VASP energy in eV/atom: -6.307
Total moment in μB per cell: 0.006

Unit cell a=4.1540 b=4.1540 c=10.1865 alpha=90.00 beta=90.00 gamma=120.00
Element x y z (fractional)
Pr (0.6667, 0.3333, 0.6805)
Pr (0.0000, 0.0000, 0.0000)
Pr (0.3333, 0.6667, 0.3195)
S (0.6667, 0.3333, 0.1616)
S (0.3333, 0.6667, 0.8384)
Se (0.0000, 0.0000, 0.5000)

(3)
The following is a DFT calculation (PBE-GGA) of a relaxed Pr2Se3S crystal.

## Properties
VASP energy in eV/atom: -5.199
Offset from the most stable computed form in eV per formula unit: 0.32
Total moment in μB per cell: 0.002

Unit cell a=10.3531 b=10.3531 c=7.6157 alpha=90.06 beta=90.06 gamma=24.54
Element x y z (fractional)
Se (0.5780, 0.5780, 0.7512)
Se (0.4271, 0.4271, 0.7513)
Se (0.9219, 0.9219, 0.2521)
S (0.0684, 0.0684, 0.2529)
Pr (0.5023, 0.5023, 0.4139)
Pr (0.0025, 0.0025, 0.9227)

(4)
The following is a DFT calculation (PBE-GGA) of a relaxed Pr3Se2S crystal.

## Properties
VASP energy in eV/atom: -6.141
Total moment in μB per cell: 0.010

Unit cell a=4.2061 b=4.2061 c=10.3437 alpha=90.00 beta=90.00 gamma=120.00
Element x y z (fractional)
Pr (0.0000, 0.0000, 0.0000)
Pr (0.6667, 0.3333, 0.6538)
Pr (0.3333, 0.6667, 0.3462)
Se (0.6667, 0.3333, 0.1717)
Se (0.3333, 0.6667, 0.8283)
S (0.0000, 0.0000, 0.5000)

(5)
The following is a DFT calculation (PBE-GGA) of a relaxed Pr2Se3S crystal.

## Properties
VASP energy in eV/atom: -5.251
Offset from the most stable computed form in eV per formula unit: 0.00
Total moment in μB per cell: 1.998

Unit cell a=7.6286 b=4.3940 c=11.2618 alpha=90.00 beta=109.78 gamma=90.00
Element x y z (fractional)
Pr (0.4250, 0.0000, 0.0040)
Pr (0.9170, 0.5000, 0.0049)
Se (0.6769, 0.0000, 0.8511)
Se (0.1820, 0.5000, 0.8604)
Se (0.3258, 0.5000, 0.1490)
S (0.8173, 0.0000, 0.1304)

(6)
The following is a DFT calculation (PBE-GGA) of a relaxed Pr6Si4S17 crystal.

## Properties
VASP energy in eV/atom: -5.935
Total moment in μB per cell: 0.000

Unit cell a=9.0057 b=10.0438 c=14.3383 alpha=81.99 beta=86.97 gamma=89.37
Element x y z (fractional)
Pr (0.3310, 0.4120, 0.3422)
Pr (0.9807, 0.2316, 0.5401)
Pr (0.0836, 0.0805, 0.1654)
Pr (0.0193, 0.7684, 0.4599)
Pr (0.5520, 0.2612, 0.9990)
Pr (0.4480, 0.7388, 0.0010)
Pr (0.6296, 0.9337, 0.3246)
Pr (0.8936, 0.6148, 0.1834)
Pr (0.1064, 0.3852, 0.8166)
Pr (0.9164, 0.9195, 0.8346)
Pr (0.6690, 0.5880, 0.6578)
Pr (0.3704, 0.0663, 0.6754)
S (0.4827, 0.1540, 0.3965)
S (0.6590, 0.9987, 0.9432)
S (0.9593, 0.8521, 0.0481)
S (0.3556, 0.5302, 0.7070)
S (0.1064, 0.2015, 0.3454)
S (0.0086, 0.3721, 0.1142)
S (0.3216, 0.4814, 0.9565)
S (0.6166, 0.7870, 0.1612)
S (0.2471, 0.6138, 0.1672)
S (0.0148, 0.4929, 0.6229)
S (0.5173, 0.8460, 0.6035)
S (0.0686, 0.1436, 0.7221)
S (0.3410, 0.0013, 0.0568)
S (0.1844, 0.9808, 0.5328)
S (0.2581, 0.8853, 0.8508)
S (0.8156, 0.0192, 0.4672)
S (0.3669, 0.2820, 0.1668)
S (0.9314, 0.8564, 0.2779)
S (0.6784, 0.5186, 0.0435)
S (0.3834, 0.2130, 0.8387)
S (0.3079, 0.6338, 0.4613)
S (0.7002, 0.0888, 0.6969)
S (0.7419, 0.1147, 0.1492)
S (0.6921, 0.3662, 0.5387)
S (0.0407, 0.1479, 0.9519)
S (0.7529, 0.3862, 0.8328)
S (0.9852, 0.5071, 0.3771)
S (0.2969, 0.3077, 0.5409)
S (0.2998, 0.9112, 0.3031)
S (0.8936, 0.7985, 0.6546)
S (0.7031, 0.6923, 0.4591)
S (0.6332, 0.7180, 0.8332)
S (0.6444, 0.4698, 0.2930)
S (0.9914, 0.6279, 0.8858)
Si (0.2306, 0.4377, 0.0988)
Si (0.2742, 0.0585, 0.3945)
Si (0.7491, 0.9399, 0.0773)
Si (0.2509, 0.0601, 0.9227)
Si (0.7502, 0.4999, 0.4160)
Si (0.7694, 0.5623, 0.9012)
Si (0.7258, 0.9415, 0.6055)
Si (0.2498, 0.5001, 0.5840)

(7)
The following is a DFT calculation (PBE-GGA) of a relaxed Pr4Si3S12 crystal.

## Properties
VASP energy in eV/atom: -5.885
Total moment in μB per cell: 0.006

Unit cell a=11.4458 b=11.4458 c=11.4458 alpha=114.73 beta=114.73 gamma=114.73
Element x y z (fractional)
Pr (0.9726, 0.2080, 0.4335)
Pr (0.9335, 0.7080, 0.4726)
Pr (0.4335, 0.9726, 0.2080)
Pr (0.2080, 0.4335, 0.9726)
Pr (0.7080, 0.4726, 0.9335)
Pr (0.4972, 0.4972, 0.4972)
Pr (0.9972, 0.9972, 0.9972)
Pr (0.4726, 0.9335, 0.7080)
Si (0.3522, 0.1395, 0.9669)
Si (0.1395, 0.9669, 0.3522)
Si (0.8522, 0.4669, 0.6395)
Si (0.9669, 0.3522, 0.1395)
Si (0.4669, 0.6395, 0.8522)
Si (0.6395, 0.8522, 0.4669)
S (0.2846, 0.8925, 0.8194)
S (0.5784, 0.8455, 0.1144)
S (0.0861, 0.8008, 0.1198)
S (0.6144, 0.3455, 0.0784)
S (0.6821, 0.6867, 0.8727)
S (0.1867, 0.1821, 0.3727)
S (0.8727, 0.6821, 0.6867)
S (0.3727, 0.1867, 0.1821)
S (0.3194, 0.3925, 0.7846)
S (0.0784, 0.6144, 0.3455)
S (0.1198, 0.0861, 0.8008)
S (0.1144, 0.5784, 0.8455)
S (0.3925, 0.7846, 0.3194)
S (0.3008, 0.5861, 0.6198)
S (0.7846, 0.3194, 0.3925)
S (0.8925, 0.8194, 0.2846)
S (0.6198, 0.3008, 0.5861)
S (0.5861, 0.6198, 0.3008)
S (0.8455, 0.1144, 0.5784)
S (0.6867, 0.8727, 0.6821)
S (0.8194, 0.2846, 0.8925)
S (0.3455, 0.0784, 0.6144)
S (0.8008, 0.1198, 0.0861)
S (0.1821, 0.3727, 0.1867)

(8)
The following is a DFT calculation (PBE-GGA) of a relaxed Pr2SmS3 crystal.

## Properties
VASP energy in eV/atom: -6.466
Total moment in μB per cell: 0.008

Unit cell a=4.0636 b=4.0636 c=9.9889 alpha=90.00 beta=90.00 gamma=120.00
Element x y z (fractional)
S (0.3333, 0.6667, 0.6597)
S (0.0000, 0.0000, 0.0000)
S (0.6667, 0.3333, 0.3403)
Pr (0.6667, 0.3333, 0.8311)
Pr (0.3333, 0.6667, 0.1689)
Sm (0.0000, 0.0000, 0.5000)